Entry 1:
## Mg7Se6 (GGA-PBE)

Data for a relaxed structure of Mg7Se6.

Lattice parameters (Å, degrees): 9.727 9.727 9.727 38.47 38.47 38.47
Positions (direct):
Mg: 0.568 0.568 0.077
Mg: 0.077 0.568 0.568
Mg: 0.568 0.077 0.568
Se: 0.332 0.332 0.332
Se: 0.196 0.196 0.196
Mg: 0.432 0.923 0.432
Se: 0.804 0.804 0.804
Se: 0.045 0.045 0.045
Se: 0.668 0.668 0.668
Se: 0.955 0.955 0.955
Mg: 0.923 0.432 0.432
Mg: 0.432 0.432 0.923
Mg: 0.500 0.500 0.500

space group: R-3m
size of the total moment: 0.00 μB/cell
crystal system: trigonal



Entry 2:
## Mg5Se4 (GGA-PBE)

Data for a relaxed structure of Mg5Se4.

Lattice parameters (Å, degrees): 7.811 7.811 7.548 90.00 90.00 120.00
Positions (direct):
Se: 0.585 0.000 0.750
Mg: 0.333 0.667 0.000
Mg: 0.749 0.749 0.750
Mg: 0.000 0.749 0.250
Se: 0.000 0.415 0.250
Mg: 0.667 0.333 0.000
Se: 0.415 0.415 0.750
Mg: 0.333 0.667 0.500
Se: 0.000 0.000 0.500
Mg: 0.000 0.251 0.750
Mg: 0.251 0.251 0.250
Se: 0.585 0.585 0.250
Se: 0.000 0.585 0.750
Mg: 0.251 0.000 0.750
Mg: 0.667 0.333 0.500
Se: 0.415 0.000 0.250
Mg: 0.749 0.000 0.250
Se: 0.000 0.000 0.000

space group: P6_3/mcm
size of the total moment: 0.00 μB/cell
crystal system: hexagonal



Entry 3:
## MgSe2 (GGA-PBE)

Data for a relaxed structure of MgSe2.

Lattice parameters (Å, degrees): 4.067 4.067 5.351 90.00 90.00 120.01
Positions (direct):
Se: 0.000 0.000 0.767
Mg: 0.333 0.667 0.500
Se: 0.000 0.000 0.233

space group: P-6m2
size of the total moment: 0.00 μB/cell
crystal system: hexagonal



Entry 4:
## MgSe3 (GGA-PBE)

Data for a relaxed structure of MgSe3.

Lattice parameters (Å, degrees): 4.107 4.665 5.535 62.32 90.00 90.00
Positions (direct):
Se: 0.000 0.500 0.500
Se: 0.500 0.235 0.191
Se: 0.500 0.765 0.809
Mg: 0.000 0.000 0.000

space group: P2/m
size of the total moment: 0.00 μB/cell
crystal system: monoclinic



Entry 5:
## Mg2Se (GGA-PBE)

Data for a relaxed structure of Mg2Se.

Lattice parameters (Å, degrees): 5.662 5.662 5.662 115.25 115.25 98.44
Positions (direct):
Mg: 0.677 0.823 0.500
Se: 0.250 0.250 0.000
Mg: 0.323 0.177 0.500
Mg: 0.177 0.677 0.853
Se: 0.750 0.750 0.000
Mg: 0.823 0.323 0.147

space group: I4/mcm
size of the total moment: 0.00 μB/cell
crystal system: tetragonal



Entry 6:
## Mg2Se (GGA-PBE)

Data for a relaxed structure of Mg2Se.

Lattice parameters (Å, degrees): 3.848 3.848 6.095 90.00 90.00 120.00
Positions (direct):
Mg: 0.000 0.000 0.234
Mg: 0.000 0.000 0.766
Se: 0.333 0.667 0.500

space group: P-6m2
size of the total moment: 0.00 μB/cell
crystal system: hexagonal



Number 1: E_form (uncorrected) -667 meV/atom. Number 2: E_form (uncorrected) -780 meV/atom. Number 3: E_form (uncorrected) -621 meV/atom. Number 4: E_form (uncorrected) -274 meV/atom. Number 5: E_form (uncorrected) -557 meV/atom. Number 6: E_form (uncorrected) -603 meV/atom.